No. 1
The following is a PBE calculation of crystalline Tb3Al8Ag3 at its relaxed geometry, from the Alexandria database.

Values from the calculation:
calculated formation energy = -0.388 eV/atom

a b c (Å): 4.4066 9.7376 12.8524
angles (deg): 90.00 90.00 90.00
Space group Immm (No. 71)
Symmetry-distinct sites (fractional):
Tb (0.0000, 0.0000, 0.0000)
Tb (0.0000, 0.0000, 0.2984)
Al (0.0000, 0.2836, 0.1359)
Al (0.0000, 0.3666, 0.3402)
Ag (0.0000, 0.1999, 0.5000)
Ag (0.0000, 0.5000, 0.0000)



No. 2
The following is a PBE calculation of crystalline TbAl2Ag at its relaxed geometry, from the Alexandria database.

Values from the calculation:
calculated formation energy = -0.295 eV/atom

a b c (Å): 4.3305 4.3305 4.3265
angles (deg): 90.00 90.00 90.00
Space group P4/mmm (No. 123)
Symmetry-distinct sites (fractional):
Tb (0.0000, 0.0000, 0.0000)
Al (0.0000, 0.5000, 0.5000)
Ag (0.5000, 0.5000, 0.0000)



No. 3
The following is a PBE calculation of crystalline TbAl2Ag4 at its relaxed geometry, from the Alexandria database.

Values from the calculation:
calculated formation energy = -0.234 eV/atom

a b c (Å): 6.9775 6.9775 5.4092
angles (deg): 90.00 90.00 90.00
Space group I4/mmm (No. 139)
Symmetry-distinct sites (fractional):
Tb (0.0000, 0.0000, 0.0000)
Al (0.0000, 0.5000, 0.2500)
Ag (0.1983, 0.1983, 0.5000)



No. 4
The following is a PBE calculation of crystalline Tb2Al3Ag2 at its relaxed geometry, from the Alexandria database.

Values from the calculation:
offset from the most stable computed form = 22 kJ/mol of formula units
calculated formation energy = -0.353 eV/atom

a b c (Å): 4.2931 19.0209 7.3984
angles (deg): 90.00 90.00 90.00
Space group Cmcm (No. 63)
Symmetry-distinct sites (fractional):
Tb (0.0000, 0.0522, 0.2500)
Tb (0.0000, 0.1560, 0.7500)
Al (0.0000, 0.2245, 0.2500)
Al (0.0000, 0.4406, 0.0756)
Ag (0.0000, 0.3110, 0.5536)



No. 5
The following is a PBE calculation of crystalline Tb2Al8Ag at its relaxed geometry, from the Alexandria database.

Values from the calculation:
calculated formation energy = -0.279 eV/atom

a b c (Å): 4.3565 4.3565 11.2733
angles (deg): 90.00 90.00 90.00
Space group P4/mmm (No. 123)
Symmetry-distinct sites (fractional):
Tb (0.0000, 0.0000, 0.1848)
Al (0.0000, 0.5000, 0.0000)
Al (0.0000, 0.5000, 0.3686)
Al (0.5000, 0.5000, 0.1943)
Ag (0.0000, 0.0000, 0.5000)



No. 6
The following is a PBE calculation of crystalline Tb5Al2Ag at its relaxed geometry, from the Alexandria database.

Values from the calculation:
calculated formation energy = -0.246 eV/atom

a b c (Å): 7.6366 7.6366 14.9355
angles (deg): 90.00 90.00 90.00
Space group I4/mcm (No. 140)
Symmetry-distinct sites (fractional):
Tb (0.0000, 0.0000, 0.0000)
Tb (0.1688, 0.3312, 0.1481)
Al (0.1211, 0.3789, 0.5000)
Ag (0.0000, 0.0000, 0.2500)



| no. | spin magnetization (μB per formula unit) |
| --- | --- |
| 1 | 0.00 |
| 2 | 0.00 |
| 3 | 0.00 |
| 4 | 0.00 |
| 5 | 0.00 |
| 6 | 0.00 |